Record 1
A plane-wave DFT calculation with PBE-GGA was carried out for a relaxed PrSm3Tl4 crystal.

As for the energy above the most stable polymorph in this dataset: 0 meV per atom. For the formation enthalpy at 0 K, the calculation gives -384 meV per atom. The calculation puts the density of states at the Fermi level at 11.740 states/eV per cell. The energy comes out at -3.934 eV/atom. As for the spin magnetization: 0.0 Bohr magnetons per cell.

a b c (Å): 11.015 7.708 5.506
angles (deg): 90.00 90.00 90.00
Space group Pmma (No. 51)
Asymmetric unit:
Pr 0.000 0.000 0.000 [2 per cell]
Sm 0.000 0.500 0.000 [2 per cell]
Sm 0.250 0.000 0.499 [2 per cell]
Sm 0.250 0.500 0.499 [2 per cell]
Tl 0.000 0.254 0.500 [4 per cell]
Tl 0.250 0.254 0.999 [4 per cell]

=====

Record 2
A plane-wave DFT calculation with PBE-GGA was carried out for a relaxed SrMnFe crystal.

For the formation enthalpy at 0 K, the calculation gives 1563 meV per atom. The calculation puts the density of states at the Fermi level at 10.136 states/eV per cell. The energy comes out at -4.875 eV/atom. As for the spin magnetization: 29.4 Bohr magnetons per cell.

a b c (Å): 7.092 7.092 7.092
angles (deg): 90.00 90.00 90.00
Space group F-43m (No. 216)
Asymmetric unit:
Sr 0.000 0.000 0.000 [4 per cell]
Mn 0.250 0.250 0.750 [4 per cell]
Fe 0.250 0.250 0.250 [4 per cell]

=====

Record 3
A plane-wave DFT calculation with PBE-GGA was carried out for a relaxed Ba2ZrVOs crystal.

For the formation enthalpy at 0 K, the calculation gives 1760 meV per atom. The calculation puts the density of states at the Fermi level at 17.384 states/eV per cell. The energy comes out at -4.789 eV/atom. As for the spin magnetization: 0.1 Bohr magnetons per cell.

a b c (Å): 6.349 6.349 4.766
angles (deg): 90.00 90.00 90.00
Space group P4/mmm (No. 123)
Asymmetric unit:
Ba 0.000 0.500 0.000 [2 per cell]
Zr 0.000 0.000 0.000 [1 per cell]
V 0.500 0.500 0.500 [1 per cell]
Os 0.000 0.000 0.500 [1 per cell]

=====

Record 4
A plane-wave DFT calculation with PBE-GGA was carried out for a relaxed CsSrNbC2 crystal.

For the formation enthalpy at 0 K, the calculation gives 1541 meV per atom. The calculation puts the density of states at the Fermi level at 3.820 states/eV per cell. The energy comes out at -4.669 eV/atom. As for the spin magnetization: 0.0 Bohr magnetons per cell.

a b c (Å): 4.477 4.477 5.565
angles (deg): 90.00 90.00 90.00
Space group P4/mmm (No. 123)
Asymmetric unit:
Cs 0.000 0.000 0.000 [1 per cell]
Sr 0.500 0.500 0.000 [1 per cell]
Nb 0.500 0.500 0.500 [1 per cell]
C 0.000 0.500 0.500 [2 per cell]

=====

Record 5
A plane-wave DFT calculation with PBE-GGA was carried out for a relaxed TlSnW2 crystal.

As for the energy above the most stable polymorph in this dataset: 389 meV per atom. For the formation enthalpy at 0 K, the calculation gives 1471 meV per atom. The calculation puts the density of states at the Fermi level at 17.233 states/eV per cell. The energy comes out at -6.598 eV/atom. As for the spin magnetization: 0.0 Bohr magnetons per cell.

a b c (Å): 7.728 7.728 5.647
angles (deg): 90.00 90.00 90.00
Space group I-42d (No. 122)
Asymmetric unit:
Tl 0.000 0.000 0.000 [4 per cell]
Sn 0.000 0.000 0.500 [4 per cell]
W 0.228 0.250 0.625 [8 per cell]

=====

Record 6
A plane-wave DFT calculation with PBE-GGA was carried out for a relaxed Al2MoBr8 crystal.

The calculation puts the uncorrected formation energy at -790.4 meV per atom. The energy comes out at -3.672 eV/atom. As for the spin magnetization: 4.0 Bohr magnetons per cell.

a b c (Å): 12.401 10.551 6.077
angles (deg): 90.00 90.54 90.00
Space group C2/m (No. 12)
Asymmetric unit:
Al 0.176 0.000 0.354 [4 per cell]
Mo 0.000 0.000 0.000 [2 per cell]
Br 0.086 0.186 0.242 [8 per cell]
Br 0.145 0.500 0.727 [4 per cell]
Br 0.176 0.000 0.752 [4 per cell]